{
  "formula": "Ba2PIr",
  "functional": "PBE",
  "state": "relaxed",
  "lattice": [[-2.147, 2.933, 4.560], [2.147, -2.933, 4.560], [2.147, 2.933, -4.560]],
  "species": ["Ba", "Ba", "P", "Ir"],
  "fractional_positions": [[0.000, 0.000, 0.000], [0.670, 0.170, 0.500], [0.369, 0.369, 0.000], [0.290, 0.790, 0.500]],
  "magnetic_moment_mub_per_fu": 0.00,
  "space_group": "No. 44",
  "formation_enthalpy_0k_ev_per_atom": -0.515
}